1 | # LaPbSN2

Crystalline LaPbSN2 at its relaxed geometry (PBE-GGA, the Alexandria database).

Space group: No. 123

a = 4.3132 Å, b = 4.3132 Å, c = 5.2455 Å
α = 90.00°, β = 90.00°, γ = 90.00°
Site moments in Bohr magnetons follow the coordinates.
Fractional positions:
Pb1 0.0000 0.0000 0.0000  0.00
La1 0.5000 0.5000 0.5000  -0.01
N1 0.0000 0.5000 0.0000  0.17
N2 0.5000 0.0000 0.0000  0.17
S1 0.0000 0.0000 0.5000  0.00

***

2 | # LaPbSN2

Crystalline LaPbSN2 at its relaxed geometry (PBE-GGA, the Alexandria database).

Space group: No. 123

a = 4.3415 Å, b = 4.3415 Å, c = 5.9681 Å
α = 90.00°, β = 90.00°, γ = 90.00°
Site moments in Bohr magnetons follow the coordinates.
Fractional positions:
Pb1 0.5000 0.5000 0.5000  0.00
N1 0.5000 0.0000 0.0000  0.14
N2 0.0000 0.5000 0.0000  0.14
La1 0.0000 0.0000 0.0000  0.02
S1 0.0000 0.0000 0.5000  0.01

***

1 is preferred energetically. Next in line: 4.4 kJ/mol of atoms higher.

***

1 | # LaPbSeN2

Crystalline LaPbSeN2 at its relaxed geometry (PBE-GGA, the Alexandria database).

Space group: No. 123

a = 4.3932 Å, b = 4.3932 Å, c = 6.2552 Å
α = 90.00°, β = 90.00°, γ = 90.00°
Site moments in Bohr magnetons follow the coordinates.
Fractional positions:
N1 0.5000 0.0000 0.0000  0.16
N2 0.0000 0.5000 0.0000  0.16
Pb1 0.5000 0.5000 0.5000  0.00
La1 0.0000 0.0000 0.0000  0.01
Se1 0.0000 0.0000 0.5000  0.01

***

2 | # LaPbSeN2

Crystalline LaPbSeN2 at its relaxed geometry (PBE-GGA, the Alexandria database).

Space group: No. 123

a = 4.3885 Å, b = 4.3885 Å, c = 5.5122 Å
α = 90.00°, β = 90.00°, γ = 90.00°
Site moments in Bohr magnetons follow the coordinates.
Fractional positions:
Pb1 0.0000 0.0000 0.0000  -0.01
N1 0.0000 0.5000 0.0000  0.42
N2 0.5000 0.0000 0.0000  0.42
Se1 0.0000 0.0000 0.5000  -0.01
La1 0.5000 0.5000 0.5000  -0.03

***

1 is preferred energetically. Next in line: 5.7 kJ/mol of atoms higher.

***

1 | # LaTePbN2

Crystalline LaTePbN2 at its relaxed geometry (PBE-GGA, the Alexandria database).

Space group: No. 123

a = 4.5161 Å, b = 4.5161 Å, c = 5.9266 Å
α = 90.00°, β = 90.00°, γ = 90.00°
Site moments in Bohr magnetons follow the coordinates.
Fractional positions:
N1 0.5000 0.0000 0.0000  0.49
N2 0.0000 0.5000 0.0000  0.49
Pb1 0.0000 0.0000 0.0000  -0.03
Te1 0.0000 0.0000 0.5000  0.00
La1 0.5000 0.5000 0.5000  -0.06

***

2 | # LaTePbN2

Crystalline LaTePbN2 at its relaxed geometry (PBE-GGA, the Alexandria database).

Space group: No. 123

a = 4.4613 Å, b = 4.4613 Å, c = 6.6737 Å
α = 90.00°, β = 90.00°, γ = 90.00°
Site moments in Bohr magnetons follow the coordinates.
Fractional positions:
Pb1 0.5000 0.5000 0.5000  0.00
La1 0.0000 0.0000 0.0000  0.00
Te1 0.0000 0.0000 0.5000  0.01
N1 0.0000 0.5000 0.0000  0.15
N2 0.5000 0.0000 0.0000  0.15

***

2 is preferred energetically. Next in line: 20.4 kJ/mol of atoms higher.

***

1 | # La4Pd2N

Crystalline La4Pd2N at its relaxed geometry (PBE-GGA, the Alexandria database).

Space group: No. 139

a = 5.0183 Å, b = 5.0183 Å, c = 8.2310 Å
α = 72.25°, β = 72.25°, γ = 90.00°
Fractional positions:
La1 0.0000 0.5000 0.0000
La2 0.8189 0.8189 0.3621
La3 0.1811 0.1811 0.6379
La4 0.5000 0.0000 0.0000
Pd1 0.6314 0.6314 0.7371
Pd2 0.3686 0.3686 0.2629
N1 0.0000 0.0000 0.0000

***

2 | # La4Pd2N

Crystalline La4Pd2N at its relaxed geometry (PBE-GGA, the Alexandria database).

Space group: No. 12

a = 3.8702 Å, b = 6.9434 Å, c = 7.3742 Å
α = 71.50°, β = 74.79°, γ = 73.82°
Fractional positions:
La1 0.6535 0.7601 0.9329
La2 0.9188 0.8048 0.3576
La3 0.0812 0.1952 0.6424
La4 0.3465 0.2399 0.0671
Pd1 0.3726 0.5753 0.6796
Pd2 0.6274 0.4247 0.3204
N1 0.0000 0.0000 0.0000

***

2 is preferred energetically. Next in line: 5.4 kJ/mol of atoms higher.

***

1 | # LaPdSN2

Crystalline LaPdSN2 at its relaxed geometry (PBE-GGA, the Alexandria database).

Space group: No. 123

a = 4.1296 Å, b = 4.1296 Å, c = 4.7109 Å
α = 90.00°, β = 90.00°, γ = 90.00°
Site moments in Bohr magnetons follow the coordinates.
Fractional positions:
N1 0.5000 0.0000 0.0000  0.56
N2 0.0000 0.5000 0.0000  0.56
La1 0.5000 0.5000 0.5000  0.00
Pd1 0.0000 0.0000 0.0000  0.34
S1 0.0000 0.0000 0.5000  0.04

***

2 | # LaPdSN2

Crystalline LaPdSN2 at its relaxed geometry (PBE-GGA, the Alexandria database).

Space group: No. 123

a = 4.0570 Å, b = 4.0570 Å, c = 6.0982 Å
α = 90.00°, β = 90.00°, γ = 90.00°
Fractional positions:
N1 0.5000 0.0000 0.0000
N2 0.0000 0.5000 0.0000
S1 0.0000 0.0000 0.5000
La1 0.0000 0.0000 0.0000
Pd1 0.5000 0.5000 0.5000

***

1 is preferred energetically. Next in line: 88.0 kJ/mol of atoms higher.

***

1 | # LaTe2PdN

Crystalline LaTe2PdN at its relaxed geometry (PBE-GGA, the Alexandria database).

Space group: No. 123

a = 5.4987 Å, b = 5.4987 Å, c = 4.0220 Å
α = 90.00°, β = 90.00°, γ = 90.00°
Site moments in Bohr magnetons follow the coordinates.
Fractional positions:
Te1 0.5000 0.0000 0.0000  0.00
Te2 0.0000 0.5000 0.0000  0.00
N1 0.0000 0.0000 0.5000  0.74
Pd1 0.0000 0.0000 0.0000  0.18
La1 0.5000 0.5000 0.5000  -0.02

***

2 | # LaTe2PdN

Crystalline LaTe2PdN at its relaxed geometry (PBE-GGA, the Alexandria database).

Space group: No. 123

a = 6.3468 Å, b = 6.3468 Å, c = 3.9441 Å
α = 90.00°, β = 90.00°, γ = 90.00°
Fractional positions:
Te1 0.5000 0.0000 0.0000
Te2 0.0000 0.5000 0.0000
N1 0.0000 0.0000 0.5000
Pd1 0.5000 0.5000 0.5000
La1 0.0000 0.0000 0.0000

***

1 is preferred energetically. Next in line: 67.0 kJ/mol of atoms higher.

***

1 | # La4PmN4

Crystalline La4PmN4 at its relaxed geometry (PBE-GGA, the Alexandria database).

Space group: No. 121

a = 6.1080 Å, b = 6.1080 Å, c = 7.0498 Å
α = 115.67°, β = 115.67°, γ = 90.00°
Site moments in Bohr magnetons follow the coordinates.
Fractional positions:
N1 0.1263 0.1263 0.7710  0.02
N2 0.6448 0.6448 0.7710  0.02
N3 0.3552 0.8737 0.2290  0.02
N4 0.8737 0.3552 0.2290  0.02
La1 0.7074 0.7074 0.4149  -0.20
La2 0.0000 0.5000 0.0000  -0.19
La3 0.2926 0.2926 0.5851  -0.20
La4 0.5000 0.0000 0.0000  -0.19
Pm1 0.0000 0.0000 0.0000  -0.30

***

2 | # La4PmN4

Crystalline La4PmN4 at its relaxed geometry (PBE-GGA, the Alexandria database).

Space group: No. 12

a = 3.6992 Å, b = 6.4562 Å, c = 8.3490 Å
α = 76.10°, β = 77.20°, γ = 73.35°
Site moments in Bohr magnetons follow the coordinates.
Fractional positions:
N1 0.1033 0.7026 0.0908  0.00
N2 0.3071 0.0847 0.3011  0.01
N3 0.8967 0.2974 0.9092  0.00
N4 0.6929 0.9153 0.6989  0.01
La1 0.7057 0.4017 0.1869  0.04
La2 0.2943 0.5983 0.8131  0.04
La3 0.1048 0.1710 0.6193  0.07
La4 0.8952 0.8290 0.3807  0.07
Pm1 0.5000 0.0000 0.0000  0.02

***

2 is preferred energetically. Next in line: 45.5 kJ/mol of atoms higher.

***

1 | # LaPm4N4

Crystalline LaPm4N4 at its relaxed geometry (PBE-GGA, the Alexandria database).

Space group: No. 121

a = 5.9222 Å, b = 5.9222 Å, c = 6.9903 Å
α = 115.06°, β = 115.06°, γ = 90.00°
Site moments in Bohr magnetons follow the coordinates.
Fractional positions:
La1 0.0000 0.0000 0.0000  0.31
Pm1 0.7158 0.7158 0.4315  0.21
Pm2 0.5000 0.0000 0.0000  0.22
Pm3 0.2842 0.2842 0.5685  0.21
Pm4 0.0000 0.5000 0.0000  0.22
N1 0.6355 0.6355 0.7609  -0.02
N2 0.8746 0.3645 0.2391  -0.02
N3 0.3645 0.8746 0.2391  -0.02
N4 0.1254 0.1254 0.7609  -0.02

***

2 | # LaPm4N4

Crystalline LaPm4N4 at its relaxed geometry (PBE-GGA, the Alexandria database).

Space group: No. 87

a = 5.1175 Å, b = 6.3402 Å, c = 6.3395 Å
α = 80.58°, β = 66.15°, γ = 66.14°
Fractional positions:
Pm1 0.6102 0.5748 0.2058
Pm2 0.3898 0.4252 0.7942
Pm3 0.8157 0.7942 0.5748
Pm4 0.1843 0.2058 0.4252
N1 0.0966 0.6014 0.2045
N2 0.3013 0.7955 0.6013
N3 0.6987 0.2045 0.3987
N4 0.9034 0.3986 0.7955
La1 0.0000 0.0000 0.0000

***

2 is preferred energetically. Next in line: 57.2 kJ/mol of atoms higher.

***

1 | # LaPm3N3

Crystalline LaPm3N3 at its relaxed geometry (PBE-GGA, the Alexandria database).

Space group: No. 148

a = 8.1431 Å, b = 8.1431 Å, c = 6.7858 Å
α = 53.13°, β = 53.13°, γ = 60.00°
Fractional positions:
La1 0.6913 0.6913 0.9260
La2 0.3087 0.3087 0.0740
N1 0.4332 0.0121 0.7820
N2 0.7727 0.4332 0.7820
N3 0.2273 0.5668 0.2180
N4 0.5668 0.9879 0.2180
N5 0.9879 0.2273 0.2180
N6 0.0121 0.7727 0.7820
Pm1 0.8555 0.6791 0.2917
Pm2 0.1737 0.8555 0.2917
Pm3 0.6791 0.1737 0.2917
Pm4 0.3209 0.8263 0.7083
Pm5 0.8263 0.1445 0.7083
Pm6 0.1445 0.3209 0.7083

***

2 | # LaPm3N3

Crystalline LaPm3N3 at its relaxed geometry (PBE-GGA, the Alexandria database).

Space group: No. 221

a = 5.1680 Å, b = 5.1680 Å, c = 5.1680 Å
α = 90.00°, β = 90.00°, γ = 90.00°
Fractional positions:
N1 0.0000 0.5000 0.5000
N2 0.5000 0.5000 0.0000
N3 0.5000 0.0000 0.5000
La1 0.5000 0.5000 0.5000
Pm1 0.0000 0.0000 0.5000
Pm2 0.0000 0.5000 0.0000
Pm3 0.5000 0.0000 0.0000

***

2 is preferred energetically. Next in line: 17.0 kJ/mol of atoms higher.

***

1 | # LaPmN

Crystalline LaPmN at its relaxed geometry (PBE-GGA, the Alexandria database).

Space group: No. 216

a = 4.4405 Å, b = 4.4405 Å, c = 4.4405 Å
α = 60.00°, β = 60.00°, γ = 60.00°
Fractional positions:
La1 0.0000 0.0000 0.0000
Pm1 0.5000 0.5000 0.5000
N1 0.2500 0.2500 0.2500

***

2 | # LaPmN

Crystalline LaPmN at its relaxed geometry (PBE-GGA, the Alexandria database).

Space group: No. 156

a = 6.5567 Å, b = 3.6391 Å, c = 3.6391 Å
α = 120.00°, β = 90.00°, γ = 90.00°
Site moments in Bohr magnetons follow the coordinates.
Fractional positions:
Pm1 0.2087 0.3333 0.6667  0.08
N1 0.0064 0.0000 0.0000  0.00
La1 0.7849 0.6667 0.3333  0.02

***

2 is preferred energetically. Next in line: 48.8 kJ/mol of atoms higher.

***

1 | # LaPmN

Crystalline LaPmN at its relaxed geometry (PBE-GGA, the Alexandria database).

Space group: No. 107

a = 4.9902 Å, b = 4.9902 Å, c = 5.3357 Å
α = 117.88°, β = 117.88°, γ = 90.00°
Fractional positions:
La1 0.3571 0.3571 0.7142
N1 0.6158 0.6158 0.2316
Pm1 0.8771 0.8771 0.7542

***

2 | # LaPmN

Crystalline LaPmN at its relaxed geometry (PBE-GGA, the Alexandria database).

Space group: No. 62

a = 3.6326 Å, b = 6.4869 Å, c = 12.1632 Å
α = 90.00°, β = 90.00°, γ = 90.00°
Fractional positions:
Pm1 0.2500 0.7244 0.0088
Pm2 0.7500 0.2756 0.9912
Pm3 0.7500 0.2244 0.4912
Pm4 0.2500 0.7756 0.5088
La1 0.2500 0.3889 0.2396
La2 0.2500 0.1111 0.7396
La3 0.7500 0.8889 0.2604
La4 0.7500 0.6111 0.7604
N1 0.2500 0.0734 0.3805
N2 0.7500 0.5734 0.1195
N3 0.2500 0.4266 0.8805
N4 0.7500 0.9266 0.6195

***

2 is preferred energetically. Next in line: 94.5 kJ/mol of atoms higher.

***

1 | # LaPmN

Crystalline LaPmN at its relaxed geometry (PBE-GGA, the Alexandria database).

Space group: No. 14

a = 5.9756 Å, b = 6.3714 Å, c = 7.2610 Å
α = 89.60°, β = 90.00°, γ = 90.00°
Fractional positions:
La1 0.7537 0.4150 0.8699
La2 0.2537 0.5850 0.6301
La3 0.2463 0.5850 0.1301
La4 0.7463 0.4150 0.3699
Pm1 0.2342 0.0829 0.8734
Pm2 0.7658 0.9171 0.1266
Pm3 0.2658 0.0829 0.3734
Pm4 0.7342 0.9171 0.6266
N1 0.4993 0.2405 0.6160
N2 0.5007 0.7595 0.3840
N3 0.9993 0.7595 0.8840
N4 0.0007 0.2405 0.1160

***

2 | # LaPmN

Crystalline LaPmN at its relaxed geometry (PBE-GGA, the Alexandria database).

Space group: No. 109

a = 5.1614 Å, b = 5.1614 Å, c = 6.5406 Å
α = 113.24°, β = 113.24°, γ = 90.00°
Fractional positions:
Pm1 0.5170 0.5170 0.0341
Pm2 0.2670 0.7670 0.5341
N1 0.4994 0.9994 0.9987
N2 0.7494 0.7494 0.4987
La1 0.9836 0.9836 0.9672
La2 0.7336 0.2336 0.4672

***

2 is preferred energetically. Next in line: 3.3 kJ/mol of atoms higher.